Ac2MnB12Os3 | PBE | relaxed

Formation energy from the elements (meV per atom): 498
Total magnetization (μB per atom): 0.1570
Final energy (eV for the cell shown): -366.71

Cell: 7.9022 7.9022 21.9207 Å, 90.00 90.00 120.00°
Space group R-3m (No. 166, hexagonal axes)
Asymmetric unit:
Ac 0.0000 0.0000 0.2421 (multiplicity 6)
Mn 0.0000 0.0000 0.5000 (multiplicity 3)
B 0.0771 0.1541 0.4156 (multiplicity 18)
B 0.1087 0.2173 0.6376 (multiplicity 18)
Os 0.0000 0.5000 0.0000 (multiplicity 9)

---

Ac2MnBPd6 | PBE | relaxed

Formation energy from the elements (meV per atom): -565
Total magnetization (μB per atom): 0.4436
Final energy (eV for the cell shown): -121.75

Cell: 10.273 5.928 7.346 Å, 90.00 117.91 90.00°
Space group C2/m (No. 12)
Asymmetric unit:
Ac 0.227 0.000 0.182 (multiplicity 4)
Mn 0.000 0.500 0.000 (multiplicity 2)
B 0.000 0.000 0.500 (multiplicity 2)
Pd 0.025 0.258 0.317 (multiplicity 8)
Pd 0.233 0.000 0.682 (multiplicity 4)

---

N(E_F) list, top to bottom, in states/eV/cell: 17.429, 8.528